(1)
TlGeRu3 | SCAN | PBEsol geometry

Lattice parameters (Å, degrees): 4.4889 4.4889 4.4889 90.00 90.00 90.00
Closest atoms and distances in Å follow each position.
Atoms (fractional coordinates):
1 Ru 0.0000 0.0000 0.5000  2 Ge 2.24
2 Ru 0.5000 0.0000 0.0000  2 Ge 2.24
3 Ge 0.0000 0.0000 0.0000  6 Ru 2.24
4 Ru 0.0000 0.5000 0.0000  2 Ge 2.24
5 Tl 0.5000 0.5000 0.5000  12 Ru 3.17

Output
Fermi-level density of states (states/eV/cell): 2.50
Volume (A^3/atom): 18.09
Final energy (eV per atom): -38.2369
Space-group type: Pm-3m, No. 221
Density (g/cm3): 10.7

***

(2)
TlGeRu2 | SCAN | PBEsol geometry

Lattice parameters (Å, degrees): 4.4287 4.4287 4.4287 60.00 60.00 60.00
Closest atoms and distances in Å follow each position.
Atoms (fractional coordinates):
1 Tl 0.5000 0.5000 0.5000  8 Ru 2.71
2 Ru 0.7500 0.7500 0.7500  4 Ge 2.71, 4 Tl 2.71
3 Ru 0.2500 0.2500 0.2500  4 Ge 2.71, 4 Tl 2.71
4 Ge 0.0000 0.0000 0.0000  8 Ru 2.71

Output
Fermi-level density of states (states/eV/cell): 1.75
Volume (A^3/atom): 15.35
Final energy (eV per atom): -39.9494
Space-group type: Fm-3m, No. 225
Density (g/cm3): 13.0

***

(3)
Tm2Ge5Ru3 | SCAN | PBEsol geometry

Lattice parameters (Å, degrees): 5.6455 8.3457 8.3457 70.94 70.23 70.23
Closest atoms and distances in Å follow each position.
Atoms (fractional coordinates):
1 Ge 0.5858 0.7357 0.0927  3 Ru 2.38-2.47
2 Ge 0.2500 0.5000 0.5000  4 Ru 2.48
3 Ge 0.4550 0.7950 0.7950  3 Ru 2.45-2.53, 2 Ge 2.67
4 Ru 0.6489 0.4409 0.2614  5 Ge 2.38-2.48
5 Ge 0.0450 0.2050 0.2050  3 Ru 2.45-2.53, 2 Ge 2.67
6 Ru 0.1489 0.2614 0.4409  5 Ge 2.38-2.48
7 Ru 0.2500 0.0000 0.0000  6 Ge 2.47-2.53
8 Ge 0.7500 0.5000 0.5000  4 Ru 2.48
9 Tm 0.1424 0.5883 0.1270  9 Ge 2.96-3.25, 4 Ru 3.10-3.14
10 Tm 0.8576 0.4117 0.8730  9 Ge 2.96-3.25, 4 Ru 3.10-3.14
11 Ge 0.5450 0.2050 0.2050  3 Ru 2.45-2.53, 2 Ge 2.67
12 Ge 0.0858 0.0927 0.7357  3 Ru 2.38-2.47
13 Ge 0.9142 0.9073 0.2643  3 Ru 2.38-2.47
14 Ge 0.4142 0.2643 0.9073  3 Ru 2.38-2.47
15 Ru 0.8511 0.7386 0.5591  5 Ge 2.38-2.48
16 Ge 0.9550 0.7950 0.7950  3 Ru 2.45-2.53, 2 Ge 2.67
17 Tm 0.3577 0.8730 0.4117  9 Ge 2.96-3.25, 4 Ru 3.10-3.14
18 Ru 0.3511 0.5591 0.7386  5 Ge 2.38-2.48
19 Ru 0.7500 0.0000 0.0000  6 Ge 2.47-2.53
20 Tm 0.6424 0.1270 0.5883  9 Ge 2.96-3.25, 4 Ru 3.10-3.14

Output
Fermi-level density of states (states/eV/cell): 3.34
Volume (A^3/atom): 16.90
Final energy (eV per atom): -31.1044
Space-group type: Ibam, No. 72
Density (g/cm3): 9.9

***

(4)
TmGe2Ru2 | SCAN | PBEsol geometry

Lattice parameters (Å, degrees): 4.1880 4.1880 5.6827 111.62 111.62 90.00
Closest atoms and distances in Å follow each position.
Atoms (fractional coordinates):
1 Ge 0.6282 0.6282 0.2564  4 Ru 2.40, 1 Ge 2.49
2 Ge 0.3718 0.3718 0.7436  4 Ru 2.40, 1 Ge 2.49
3 Ru 0.7500 0.2500 0.5000  4 Ge 2.40
4 Ru 0.2500 0.7500 0.5000  4 Ge 2.40
5 Tm 0.0000 0.0000 0.0000  8 Ru 3.20, 8 Ge 3.21

Output
Fermi-level density of states (states/eV/cell): 2.74
Volume (A^3/atom): 17.01
Final energy (eV per atom): -32.6865
Space-group type: I4/mmm, No. 139
Density (g/cm3): 10.1

***

(5)
Y2Ge2Ru | SCAN | PBEsol geometry

Lattice parameters (Å, degrees): 4.2377 5.7340 9.1297 82.03 76.58 68.31
Closest atoms and distances in Å follow each position.
Atoms (fractional coordinates):
1 Y 0.8157 0.2578 0.1108  6 Ge 2.88-3.18
2 Ge 0.3546 0.7251 0.5656  3 Ru 2.43-2.49
3 Ru 0.7279 0.9164 0.6278  4 Ge 2.43-2.58
4 Y 0.1843 0.7422 0.8892  6 Ge 2.88-3.18
5 Ru 0.2721 0.0836 0.3722  4 Ge 2.43-2.58
6 Ge 0.6454 0.2749 0.4344  3 Ru 2.43-2.49
7 Y 0.0020 0.6699 0.3261  6 Ge 2.90-3.10, 4 Ru 3.05-3.13
8 Ge 0.5110 0.8532 0.1248  1 Ru 2.58, 1 Ge 2.64
9 Y 0.9980 0.3301 0.6739  6 Ge 2.90-3.10, 4 Ru 3.05-3.13
10 Ge 0.4890 0.1468 0.8752  1 Ru 2.58, 1 Ge 2.64

Output
Fermi-level density of states (states/eV/cell): 5.19
Volume (A^3/atom): 20.02
Final energy (eV per atom): -26.6762
Space-group type: C2/m, No. 12
Density (g/cm3): 7.0

***

(6)
Y2Ge2Ru | SCAN | PBEsol geometry

Lattice parameters (Å, degrees): 4.1439 4.1439 6.7633 107.84 107.84 90.00
Closest atoms and distances in Å follow each position.
Atoms (fractional coordinates):
1 Ge 0.5913 0.5913 0.1826  1 Ge 2.23
2 Ge 0.4087 0.4087 0.8174  1 Ge 2.23
3 Y 0.2500 0.7500 0.5000  4 Ge 2.83, 4 Y 2.93
4 Y 0.7500 0.2500 0.5000  4 Ge 2.83, 4 Y 2.93
5 Ru 0.0000 0.0000 0.0000  8 Ge 3.13

Output
Fermi-level density of states (states/eV/cell): 2.29
Volume (A^3/atom): 20.93
Final energy (eV per atom): -25.3148
Space-group type: I4/mmm, No. 139
Density (g/cm3): 6.7

***

(7)
Y2Ge2Ru | SCAN | PBEsol geometry

Lattice parameters (Å, degrees): 4.2590 6.7276 6.7276 90.00 90.00 90.00
Closest atoms and distances in Å follow each position.
Atoms (fractional coordinates):
1 Y 0.5000 0.3249 0.1751  6 Ge 2.80-2.99
2 Ge 0.0000 0.6338 0.1338  1 Ge 2.55, 2 Ru 2.62, 2 Y 2.80
3 Ru 0.0000 0.0000 0.0000  4 Ge 2.62
4 Ge 0.0000 0.8662 0.6338  1 Ge 2.55, 2 Ru 2.62, 2 Y 2.80
5 Ru 0.0000 0.5000 0.5000  4 Ge 2.62
6 Y 0.5000 0.8249 0.3249  6 Ge 2.80-2.99
7 Ge 0.0000 0.3662 0.8662  1 Ge 2.55, 2 Ru 2.62, 2 Y 2.80
8 Y 0.5000 0.6751 0.8249  6 Ge 2.80-2.99
9 Y 0.5000 0.1751 0.6751  6 Ge 2.80-2.99
10 Ge 0.0000 0.1338 0.3662  1 Ge 2.55, 2 Ru 2.62, 2 Y 2.80

Output
Fermi-level density of states (states/eV/cell): 4.61
Volume (A^3/atom): 19.28
Final energy (eV per atom): -26.6035
Space-group type: P4/mbm, No. 127
Density (g/cm3): 7.3

***

(8)
Y3Ge13Ru4 | SCAN | PBEsol geometry

Lattice parameters (Å, degrees): 8.9192 8.9192 8.9192 90.00 90.00 90.00
Closest atoms and distances in Å follow each position.
Atoms (fractional coordinates):
1 Ge 0.5000 0.6473 0.8009  2 Ru 2.45, 1 Ge 2.63
2 Ge 0.3527 0.1991 0.5000  2 Ru 2.45, 1 Ge 2.63
3 Ru 0.7500 0.7500 0.2500  6 Ge 2.45
4 Ge 0.5000 0.3527 0.8009  2 Ru 2.45, 1 Ge 2.63
5 Ge 0.8009 0.5000 0.6473  2 Ru 2.45, 1 Ge 2.63
6 Ge 0.8009 0.5000 0.3527  2 Ru 2.45, 1 Ge 2.63
7 Ge 0.3527 0.8009 0.5000  2 Ru 2.45, 1 Ge 2.63
8 Ge 0.5000 0.5000 0.5000  12 Ge 2.99
9 Ge 0.6991 0.1473 0.0000  2 Ru 2.45, 1 Ge 2.63
10 Ge 0.6473 0.1991 0.5000  2 Ru 2.45, 1 Ge 2.63
11 Ge 0.0000 0.6991 0.8527  2 Ru 2.45, 1 Ge 2.63
12 Y 0.5000 0.0000 0.7500  12 Ge 3.14-3.18, 4 Ru 3.15
13 Ge 0.0000 0.3009 0.1473  2 Ru 2.45, 1 Ge 2.63
14 Ge 0.0000 0.3009 0.8527  2 Ru 2.45, 1 Ge 2.63
15 Ru 0.2500 0.2500 0.7500  6 Ge 2.45
16 Ge 0.1991 0.5000 0.6473  2 Ru 2.45, 1 Ge 2.63
17 Y 0.2500 0.5000 0.0000  12 Ge 3.14-3.18, 4 Ru 3.15
18 Ru 0.7500 0.2500 0.7500  6 Ge 2.45
19 Y 0.7500 0.5000 0.0000  12 Ge 3.14-3.18, 4 Ru 3.15
20 Ru 0.7500 0.2500 0.2500  6 Ge 2.45
21 Ru 0.7500 0.7500 0.7500  6 Ge 2.45
22 Y 0.0000 0.7500 0.5000  12 Ge 3.14-3.18, 4 Ru 3.15
23 Ge 0.5000 0.3527 0.1991  2 Ru 2.45, 1 Ge 2.63
24 Y 0.5000 0.0000 0.2500  12 Ge 3.14-3.18, 4 Ru 3.15
25 Ge 0.6991 0.8527 0.0000  2 Ru 2.45, 1 Ge 2.63
26 Ru 0.2500 0.7500 0.2500  6 Ge 2.45
27 Ge 0.0000 0.0000 0.0000  12 Ge 2.99
28 Ge 0.1473 0.0000 0.6991  2 Ru 2.45, 1 Ge 2.63
29 Ge 0.1991 0.5000 0.3527  2 Ru 2.45, 1 Ge 2.63
30 Ge 0.3009 0.8527 0.0000  2 Ru 2.45, 1 Ge 2.63
31 Ru 0.2500 0.7500 0.7500  6 Ge 2.45
32 Ge 0.0000 0.6991 0.1473  2 Ru 2.45, 1 Ge 2.63
33 Ge 0.6473 0.8009 0.5000  2 Ru 2.45, 1 Ge 2.63
34 Y 0.0000 0.2500 0.5000  12 Ge 3.14-3.18, 4 Ru 3.15
35 Ge 0.5000 0.6473 0.1991  2 Ru 2.45, 1 Ge 2.63
36 Ge 0.8527 0.0000 0.6991  2 Ru 2.45, 1 Ge 2.63
37 Ge 0.8527 0.0000 0.3009  2 Ru 2.45, 1 Ge 2.63
38 Ge 0.1473 0.0000 0.3009  2 Ru 2.45, 1 Ge 2.63
39 Ru 0.2500 0.2500 0.2500  6 Ge 2.45
40 Ge 0.3009 0.1473 0.0000  2 Ru 2.45, 1 Ge 2.63

Output
Fermi-level density of states (states/eV/cell): 14.30
Volume (A^3/atom): 17.74
Final energy (eV per atom): -24.0783
Space-group type: Pm-3n, No. 223
Density (g/cm3): 7.6

***

(9)
Zr2Ge2Ru | SCAN | PBEsol geometry

Lattice parameters (Å, degrees): 4.1165 6.4379 6.4379 90.00 90.00 90.00
Closest atoms and distances in Å follow each position.
Atoms (fractional coordinates):
1 Zr 0.5000 0.1723 0.6723  6 Ge 2.69-2.88
2 Ge 0.0000 0.3621 0.8621  2 Ru 2.49, 1 Ge 2.51, 2 Zr 2.69
3 Zr 0.5000 0.3277 0.1723  6 Ge 2.69-2.88
4 Zr 0.5000 0.6723 0.8277  6 Ge 2.69-2.88
5 Ge 0.0000 0.1379 0.3621  2 Ru 2.49, 1 Ge 2.51, 2 Zr 2.69
6 Ge 0.0000 0.6379 0.1379  2 Ru 2.49, 1 Ge 2.51, 2 Zr 2.69
7 Ru 0.0000 0.5000 0.5000  4 Ge 2.49
8 Ge 0.0000 0.8621 0.6379  2 Ru 2.49, 1 Ge 2.51, 2 Zr 2.69
9 Ru 0.0000 0.0000 0.0000  4 Ge 2.49
10 Zr 0.5000 0.8277 0.3277  6 Ge 2.69-2.88

Output
Fermi-level density of states (states/eV/cell): 3.31
Volume (A^3/atom): 17.06
Final energy (eV per atom): -27.7670
Space-group type: P4/mbm, No. 127
Density (g/cm3): 8.3

***

(10)
ZrGeRu | SCAN | PBEsol geometry

Lattice parameters (Å, degrees): 6.7278 7.6635 7.4534 60.90 90.00 116.04
Closest atoms and distances in Å follow each position.
Atoms (fractional coordinates):
1 Zr 0.5091 0.5569 0.4716  5 Ge 2.73-2.76, 2 Ru 2.93
2 Ru 0.2569 0.7542 0.6529  4 Ge 2.49-2.58
3 Zr 0.5062 0.6073 0.9463  5 Ge 2.75-2.94, 6 Ru 2.85-2.95
4 Ge 0.1721 0.3347 0.8384  3 Ru 2.58-2.60, 6 Zr 2.73-2.76
5 Ru 0.5027 0.2458 0.9071  4 Ge 2.49-2.58
6 Ru 0.7469 0.0000 0.5000  4 Ge 2.53-2.60
7 Zr 0.0868 0.0038 0.7481  5 Ge 2.73-2.78, 4 Ru 2.94-2.95
8 Ge 0.1721 0.3347 0.3269  3 Ru 2.58-2.60, 6 Zr 2.73-2.76
9 Ru 0.7469 0.0000 0.0000  4 Ge 2.53-2.60
10 Zr 0.8989 0.3927 0.0537  5 Ge 2.75-2.94, 6 Ru 2.85-2.95
11 Ge 0.5236 0.0552 0.7224  6 Ru 2.49-2.53, 2 Zr 2.75-2.78
12 Zr 0.0830 0.9962 0.2519  5 Ge 2.73-2.78, 4 Ru 2.94-2.95
13 Ge 0.8374 0.6653 0.6731  3 Ru 2.58-2.60, 6 Zr 2.73-2.76
14 Ge 0.8374 0.6653 0.1616  3 Ru 2.58-2.60, 6 Zr 2.73-2.76
15 Zr 0.9522 0.4431 0.5284  5 Ge 2.73-2.76, 2 Ru 2.93
16 Ru 0.5027 0.2458 0.3471  4 Ge 2.49-2.58
17 Ru 0.2569 0.7542 0.0929  4 Ge 2.49-2.58
18 Ge 0.4684 0.9448 0.2776  6 Ru 2.49-2.53, 2 Zr 2.75-2.78

Output
Fermi-level density of states (states/eV/cell): 7.04
Volume (A^3/atom): 16.13
Final energy (eV per atom): -29.1493
Space-group type: Ima2, No. 46
Density (g/cm3): 9.1

***

(11)
GeSb2TeS | SCAN | PBEsol geometry

Lattice parameters (Å, degrees): 5.1216 5.2937 5.2937 90.00 90.00 90.00
Closest atoms and distances in Å follow each position.
Atoms (fractional coordinates):
1 Sb 0.0000 0.0000 0.5000  2 Ge 2.65
2 S 0.5000 0.5000 0.5000  8 Sb 3.68, 4 Te 3.74
3 Sb 0.0000 0.5000 0.0000  2 Ge 2.65
4 Ge 0.0000 0.0000 0.0000  2 Te 2.56, 4 Sb 2.65
5 Te 0.5000 0.0000 0.0000  2 Ge 2.56

Output
Fermi-level density of states (states/eV/cell): 4.47
ΔE_f (raw) (eV/atom): 0.897
Volume (A^3/atom): 28.70
Final energy (eV per atom): -27.2007
Space-group type: P4/mmm, No. 123
Density (g/cm3): 5.5

***

(12)
GeSbTe2S | SCAN | PBEsol geometry

Lattice parameters (Å, degrees): 5.2007 5.2007 5.3389 90.00 90.00 90.00
Closest atoms and distances in Å follow each position.
Atoms (fractional coordinates):
1 Ge 0.0000 0.0000 0.0000  4 Te 2.60, 2 Sb 2.67
2 Te 0.0000 0.5000 0.0000  2 Ge 2.60
3 S 0.5000 0.5000 0.5000  4 Sb 3.68, 8 Te 3.73
4 Te 0.5000 0.0000 0.0000  2 Ge 2.60
5 Sb 0.0000 0.0000 0.5000  2 Ge 2.67

Output
Fermi-level density of states (states/eV/cell): 4.69
ΔE_f (raw) (eV/atom): 0.873
Volume (A^3/atom): 28.88
Final energy (eV per atom): -27.2225
Space-group type: P4/mmm, No. 123
Density (g/cm3): 5.5